Entry from Alexandria: crystalline ScZnIn2 at its relaxed geometry (PBE-GGA).

Values from the calculation:
SG: I-42d (122)
Total magnetic moment in μB per formula unit: 0.00
ΔE_f in kJ/mol of formula units: -24

a = 6.308 Å, b = 6.308 Å, c = 6.308 Å
α = 102.99°, β = 102.99°, γ = 123.40°
Atoms (fractional coordinates):
Sc (0.000, 0.000, 0.000)
Sc (0.750, 0.250, 0.500)
Zn (0.250, 0.750, 0.500)
Zn (0.500, 0.500, 0.000)
In (0.162, 0.125, 0.537)
In (0.375, 0.838, 0.963)
In (0.588, 0.625, 0.463)
In (0.875, 0.412, 0.037)


Entry from Alexandria: crystalline ScZnIn2 at its relaxed geometry (PBE-GGA).

Values from the calculation:
SG: P4/mmm (123)
Total magnetic moment in μB per formula unit: 0.00
ΔE_f in kJ/mol of formula units: -118

a = 4.384 Å, b = 4.384 Å, c = 4.315 Å
α = 90.00°, β = 90.00°, γ = 90.00°
Atoms (fractional coordinates):
Sc (0.000, 0.000, 0.000)
Zn (0.500, 0.500, 0.000)
In (0.000, 0.500, 0.500)
In (0.500, 0.000, 0.500)


Entry from Alexandria: crystalline ScZn2In at its relaxed geometry (PBE-GGA).

Values from the calculation:
SG: R3m (160)
Total magnetic moment in μB per formula unit: 0.00
ΔE_f in kJ/mol of formula units: -4

a = 9.129 Å, b = 9.129 Å, c = 9.129 Å
α = 20.59°, β = 20.59°, γ = 20.59°
Atoms (fractional coordinates):
Sc (0.000, 0.000, 0.000)
Zn (0.251, 0.251, 0.251)
Zn (0.513, 0.513, 0.513)
In (0.761, 0.761, 0.761)


Entry from Alexandria: crystalline Sc2ZnIn2 at its relaxed geometry (PBE-GGA).

Values from the calculation:
SG: Amm2 (38)
Total magnetic moment in μB per formula unit: 0.28
Energy above the lowest structure with this stoichiometry in meV per atom: 0
ΔE_f in kJ/mol of formula units: -178

a = 3.223 Å, b = 7.667 Å, c = 7.667 Å
α = 33.98°, β = 90.00°, γ = 90.00°
Atoms (fractional coordinates):
Sc (0.000, 0.000, 0.000)
Sc (0.000, 0.224, 0.224)
Zn (0.500, 0.416, 0.416)
In (0.500, 0.608, 0.608)
In (0.500, 0.817, 0.817)


Entry from Alexandria: crystalline Sc3ZnIn at its relaxed geometry (PBE-GGA).

Values from the calculation:
SG: Pm-3m (221)
Total magnetic moment in μB per formula unit: 0.00
Energy above the lowest structure with this stoichiometry in meV per atom: 383
ΔE_f in kJ/mol of formula units: 38

a = 5.029 Å, b = 5.029 Å, c = 5.029 Å
α = 90.00°, β = 90.00°, γ = 90.00°
Atoms (fractional coordinates):
Sc (0.000, 0.000, 0.500)
Sc (0.000, 0.500, 0.000)
Sc (0.500, 0.000, 0.000)
Zn (0.000, 0.000, 0.000)
In (0.500, 0.500, 0.500)


Entry from Alexandria: crystalline ScZnIn2 at its relaxed geometry (PBE-GGA).

Values from the calculation:
SG: R-3m (166)
Total magnetic moment in μB per formula unit: 0.00
ΔE_f in kJ/mol of formula units: -25

a = 9.676 Å, b = 9.676 Å, c = 9.676 Å
α = 19.78°, β = 19.78°, γ = 19.78°
Atoms (fractional coordinates):
Sc (0.000, 0.000, 0.000)
Zn (0.500, 0.500, 0.500)
In (0.246, 0.246, 0.246)
In (0.754, 0.754, 0.754)


Entry from Alexandria: crystalline ScZn2In2 at its relaxed geometry (PBE-GGA).

Values from the calculation:
SG: P4/mbm (127)
Total magnetic moment in μB per formula unit: 0.00
Energy above the lowest structure with this stoichiometry in meV per atom: 0
ΔE_f in kJ/mol of formula units: -49

a = 7.552 Å, b = 7.552 Å, c = 3.642 Å
α = 90.00°, β = 90.00°, γ = 90.00°
Atoms (fractional coordinates):
Sc (0.000, 0.000, 0.000)
Sc (0.500, 0.500, 0.000)
Zn (0.120, 0.380, 0.000)
Zn (0.380, 0.880, 0.000)
Zn (0.620, 0.120, 0.000)
Zn (0.880, 0.620, 0.000)
In (0.180, 0.680, 0.500)
In (0.320, 0.180, 0.500)
In (0.680, 0.820, 0.500)
In (0.820, 0.320, 0.500)


Entry from Alexandria: crystalline Sc2ZnIn at its relaxed geometry (PBE-GGA).

Values from the calculation:
SG: Fm-3m (225)
Total magnetic moment in μB per formula unit: 0.00
ΔE_f in kJ/mol of formula units: -153

a = 4.899 Å, b = 4.899 Å, c = 4.899 Å
α = 60.00°, β = 60.00°, γ = 60.00°
Atoms (fractional coordinates):
Sc (0.250, 0.250, 0.250)
Sc (0.750, 0.750, 0.750)
Zn (0.000, 0.000, 0.000)
In (0.500, 0.500, 0.500)


Entry from Alexandria: crystalline Sc3ZnIn at its relaxed geometry (PBE-GGA).

Values from the calculation:
SG: Pm-3m (221)
Total magnetic moment in μB per formula unit: 1.98
Energy above the lowest structure with this stoichiometry in meV per atom: 877
ΔE_f in kJ/mol of formula units: 277

a = 5.339 Å, b = 5.339 Å, c = 5.339 Å
α = 90.00°, β = 90.00°, γ = 90.00°
Atoms (fractional coordinates):
Sc (0.000, 0.000, 0.500)
Sc (0.000, 0.500, 0.000)
Sc (0.500, 0.000, 0.000)
Zn (0.500, 0.500, 0.500)
In (0.000, 0.000, 0.000)


Entry from Alexandria: crystalline Sc4ZnIn2 at its relaxed geometry (PBE-GGA).

Values from the calculation:
SG: R-3m (166)
Total magnetic moment in μB per formula unit: 0.00
Energy above the lowest structure with this stoichiometry in meV per atom: 0
ΔE_f in kJ/mol of formula units: -165

a = 8.458 Å, b = 8.458 Å, c = 8.458 Å
α = 33.59°, β = 33.59°, γ = 33.59°
Atoms (fractional coordinates):
Sc (0.123, 0.123, 0.123)
Sc (0.374, 0.374, 0.374)
Sc (0.626, 0.626, 0.626)
Sc (0.877, 0.877, 0.877)
Zn (0.500, 0.500, 0.500)
In (0.250, 0.250, 0.250)
In (0.750, 0.750, 0.750)


Entry from Alexandria: crystalline Sc3ZnIn3 at its relaxed geometry (PBE-GGA).

Values from the calculation:
SG: C2/m (12)
Total magnetic moment in μB per formula unit: 0.55
ΔE_f in kJ/mol of formula units: -216

a = 6.875 Å, b = 6.875 Å, c = 6.750 Å
α = 90.32°, β = 90.32°, γ = 88.26°
Atoms (fractional coordinates):
Sc (0.003, 0.003, 0.266)
Sc (0.012, 0.485, 0.737)
Sc (0.485, 0.012, 0.737)
Sc (0.515, 0.988, 0.263)
Sc (0.988, 0.515, 0.263)
Sc (0.997, 0.997, 0.734)
Zn (0.266, 0.266, 0.474)
Zn (0.734, 0.734, 0.526)
In (0.275, 0.275, 0.024)
In (0.276, 0.724, 0.000)
In (0.312, 0.688, 0.500)
In (0.688, 0.312, 0.500)
In (0.724, 0.276, 0.000)
In (0.725, 0.725, 0.976)


Entry from Alexandria: crystalline ScZnIn2 at its relaxed geometry (PBE-GGA).

Values from the calculation:
SG: P2/m (10)
Total magnetic moment in μB per formula unit: 0.00
ΔE_f in kJ/mol of formula units: -63

a = 3.204 Å, b = 4.568 Å, c = 6.029 Å
α = 90.00°, β = 90.24°, γ = 90.00°
Atoms (fractional coordinates):
Sc (0.000, 0.000, 0.000)
Zn (0.500, 0.000, 0.500)
In (0.497, 0.500, 0.755)
In (0.503, 0.500, 0.245)